No. 1
PBE Y3Mg3ZnCd2, optimized geometry; space-group type = No. 189; total magnetic moment = 0.027 μB/f.u.; ρ = 4.8 g/cm3; crystal system = hexagonal; E_tot = -29.59 eV for the cell shown
1.0
7.6534 0.0000 0.0000
-3.8267 6.6281 0.0000
0.0000 0.0000 4.3339
Mg Cd Zn Y
3 2 1 3
Direct
0.7602 0.7602 0.5000 Mg
0.0000 0.2398 0.5000 Mg
0.2398 0.0000 0.5000 Mg
0.3333 0.6667 0.5000 Cd
0.6667 0.3333 0.5000 Cd
0.0000 0.0000 0.0000 Zn
0.5942 0.0000 0.0000 Y
0.4058 0.4058 0.0000 Y
0.0000 0.5942 0.0000 Y

No. 2
PBE YMgZnCd, optimized geometry; space-group type = No. 216; total magnetic moment = 0.001 μB/f.u.; energy relative to the lowest polymorph listed for this composition = 109 meV/atom; ρ = 5.7 g/cm3; crystal system = cubic; E_tot = -11.01 eV for the cell shown
1.0
0.0000 3.4842 3.4842
3.4842 0.0000 3.4842
3.4842 3.4842 0.0000
Mg Y Zn Cd
1 1 1 1
Direct
0.0000 0.0000 0.0000 Mg
0.7500 0.7500 0.7500 Y
0.5000 0.5000 0.5000 Zn
0.2500 0.2500 0.2500 Cd

No. 3
PBE MgZrCd, optimized geometry; space-group type = No. 129; total magnetic moment = 0.001 μB/f.u.; ρ = 5.8 g/cm3; crystal system = tetragonal; E_tot = -22.63 eV for the cell shown
1.0
3.1809 0.0000 0.0000
0.0000 3.1809 0.0000
0.0000 0.0000 12.9451
Mg Zr Cd
2 2 2
Direct
0.5000 0.0000 0.0851 Mg
0.0000 0.5000 0.9149 Mg
0.0000 0.5000 0.5866 Zr
0.5000 0.0000 0.4134 Zr
0.0000 0.5000 0.2412 Cd
0.5000 0.0000 0.7588 Cd

No. 4
PBE CdMo2, optimized geometry; space-group type = No. 227; total magnetic moment = 0.003 μB/f.u.; ρ = 9.4 g/cm3; crystal system = cubic; E_tot = -42.01 eV for the cell shown
1.0
3.9680 0.0280 3.5654
-0.5001 2.7798 4.5256
-0.5733 -2.5529 4.6489
Cd Mo
2 4
Direct
0.0000 0.0000 0.0000 Cd
0.2500 0.2500 0.2500 Cd
0.1250 0.6250 0.6250 Mo
0.6250 0.6250 0.1250 Mo
0.6250 0.1250 0.6250 Mo
0.6250 0.6250 0.6250 Mo

No. 5
PBE CdMo, optimized geometry; space-group type = No. 187; total magnetic moment = 0.007 μB/f.u.; energy relative to the lowest polymorph listed for this composition = 0 meV/atom; ρ = 9.7 g/cm3; crystal system = hexagonal; E_tot = -10.66 eV for the cell shown
1.0
-1.1868 1.8253 -1.8850
-1.6498 -1.3328 1.9480
0.7217 3.7508 3.1775
Cd Mo
1 1
Direct
0.6667 0.3333 0.7500 Cd
0.3333 0.6667 0.2500 Mo

No. 6
PBE CdMo3N2, optimized geometry; space-group type = No. 194; total magnetic moment = 0.011 μB/f.u.; ρ = 9.0 g/cm3; crystal system = hexagonal; E_tot = -99.46 eV for the cell shown
1.0
-2.2786 -2.0779 0.5726
2.9910 -0.9392 -0.0964
1.6152 3.2669 18.2821
Cd Mo N
2 6 4
Direct
0.0000 0.0000 0.7500 Cd
0.0000 0.0000 0.2500 Cd
0.0000 0.0000 0.5000 Mo
0.6667 0.3333 0.1209 Mo
0.0000 0.0000 0.0000 Mo
0.3333 0.6667 0.8791 Mo
0.6667 0.3333 0.3791 Mo
0.3333 0.6667 0.6209 Mo
0.6667 0.3333 0.9344 N
0.3333 0.6667 0.0656 N
0.3333 0.6667 0.4344 N
0.6667 0.3333 0.5656 N

No. 7
PBE Nb4Cd3Mo2N3, optimized geometry; space-group type = No. 15; total magnetic moment = 0.000 μB/f.u.; ρ = 8.5 g/cm3; crystal system = monoclinic; E_tot = -187.04 eV for the cell shown
1.0
-3.6235 4.0613 -0.7137
-5.2611 -0.7321 1.3851
5.6985 3.6771 12.8444
Nb Cd N Mo
8 6 6 4
Direct
0.2044 0.0170 0.5814 Nb
0.6959 0.8490 0.0815 Nb
0.7956 0.9830 0.4186 Nb
0.9830 0.7956 0.9186 Nb
0.1510 0.3041 0.4185 Nb
0.3041 0.1510 0.9185 Nb
0.0170 0.2044 0.0814 Nb
0.8490 0.6959 0.5815 Nb
0.4146 0.2660 0.2477 Cd
0.9044 0.0956 0.7500 Cd
0.5854 0.7340 0.7523 Cd
0.2660 0.4146 0.7477 Cd
0.7340 0.5854 0.2523 Cd
0.0956 0.9044 0.2500 Cd
0.8472 0.3270 0.5000 N
0.5000 0.0000 0.5000 N
0.0000 0.5000 0.0000 N
0.1529 0.6730 0.5000 N
0.6730 0.1529 0.0000 N
0.3270 0.8472 0.0000 N
0.6317 0.4746 0.9261 Mo
0.3683 0.5254 0.0739 Mo
0.5254 0.3683 0.5739 Mo
0.4746 0.6317 0.4261 Mo

No. 8
PBE Nb2Cd3Mo4N3, optimized geometry; space-group type = No. 15; total magnetic moment = 0.001 μB/f.u.; ρ = 8.7 g/cm3; crystal system = monoclinic; E_tot = -185.72 eV for the cell shown
1.0
-2.9127 3.3245 -3.1378
-2.5833 -1.9557 -4.3456
-9.6469 -2.9738 10.3687
N Cd Nb Mo
6 6 4 8
Direct
0.1871 0.6562 0.9991 N
0.3438 0.8129 0.5009 N
0.8129 0.3438 0.0009 N
0.5000 0.0000 0.0000 N
0.6562 0.1871 0.4991 N
0.0000 0.5000 0.5000 N
0.2216 0.4187 0.2529 Cd
0.5813 0.7784 0.2471 Cd
0.4187 0.2216 0.7529 Cd
0.9453 0.0547 0.2500 Cd
0.7784 0.5813 0.7471 Cd
0.0547 0.9453 0.7500 Cd
0.3513 0.5265 0.5867 Nb
0.6487 0.4735 0.4133 Nb
0.5265 0.3513 0.0867 Nb
0.4735 0.6487 0.9133 Nb
0.3076 0.1282 0.4248 Mo
0.6924 0.8718 0.5752 Mo
0.1282 0.3076 0.9248 Mo
0.9602 0.8210 0.4249 Mo
0.8210 0.9602 0.9249 Mo
0.0398 0.1790 0.5751 Mo
0.1790 0.0398 0.0751 Mo
0.8718 0.6924 0.0752 Mo